Record 1
A geometry-optimized CdBr structure. Source: Alexandria, functional PBE.

Cell: 8.9823 8.9823 8.9823 Å, 90.00 90.00 90.00°
Space group I-43m (No. 217)
Asymmetric unit:
Cd 0.1210 0.1210 0.8790 (multiplicity 8)
Br 0.2086 0.2086 0.2086 (multiplicity 8)

Computed properties:
* E_tot: -26.790 eV for the cell shown
* DOS at the Fermi energy: 0.066 states/eV/atom
* ΔE_f (raw): -0.380 eV/atom

Record 2
A geometry-optimized Pm3Zn3Au8 structure. Source: Alexandria, functional PBE.

Cell: 4.4421 9.9937 13.1988 Å, 90.00 90.00 90.00°
Space group Immm (No. 71)
Asymmetric unit:
Pm 0.0000 0.0000 0.0000 (multiplicity 2)
Pm 0.0000 0.0000 0.2936 (multiplicity 4)
Zn 0.0000 0.1840 0.5000 (multiplicity 4)
Zn 0.0000 0.5000 0.0000 (multiplicity 2)
Au 0.0000 0.3020 0.1273 (multiplicity 8)
Au 0.0000 0.3637 0.3473 (multiplicity 8)

Computed properties:
* E_tot: -104.616 eV for the cell shown
* energy relative to the elements: -8.02 eV per formula unit
* DOS at the Fermi energy: 0.480 states/eV/atom